1.
A plane-wave DFT calculation with GGA-PBE was carried out for a relaxed structure of CsTePH.

Calculated values
- Calculated total energy: -13.72 eV/f.u.
- Space group: Cm
- DOS at the Fermi energy: 0.8 states/eV/cell
- Total magnetic moment: 0.00 μB/cell

```
4
Lattice="5.677 -2.094 0.000 5.677 2.094 0.000 -1.667 0.000 5.907" Properties=species:S:1:pos:R:3 pbc="T T T"
Cs 0.000 0.000 0.000
Te 1.952 0.000 3.352
P 4.259 0.000 2.654
H 4.952 0.000 3.919
```



2.
A plane-wave DFT calculation with GGA-PBE was carried out for a relaxed structure of CsTePH.

Calculated values
- Calculated total energy: -13.84 eV/f.u.
- Space group: Pm
- DOS at the Fermi energy: 1.2 states/eV/cell
- Total magnetic moment: 0.00 μB/cell

```
4
Lattice="5.032 0.000 0.000 0.000 5.208 0.000 -2.168 0.000 5.029" Properties=species:S:1:pos:R:3 pbc="T T T"
Cs 0.000 0.000 0.000
Te 2.566 2.604 2.038
P 0.051 2.604 2.718
H 0.067 2.604 4.151
```